VASP calculation (PBE) on crystalline TbY2Mg3Pd2Pt at its relaxed geometry.

POSCAR file:
```
TbY2Mg3Pd2Pt
1.0
4.109 0.000 0.000
0.000 6.393 3.707
0.000 -6.393 3.707
Pt Pd Tb Mg Y
1 2 1 3 2
Direct
0.000 0.999 0.999
0.500 0.666 0.334
0.500 0.334 0.666
0.000 0.592 0.592
0.500 0.001 0.756
0.500 0.243 0.243
0.500 0.756 0.001
0.000 0.408 0.000
0.000 0.000 0.408
```

Raw total energy (eV per atom): -5.0701
Space-group type: Amm2, No. 38
V (Å³/cell): 195



VASP calculation (PBE) on crystalline Tb2YMg3Pd2Pt at its relaxed geometry.

POSCAR file:
```
Tb2YMg3Pd2Pt
1.0
4.106 0.000 0.000
0.000 6.425 3.693
0.000 -6.425 3.693
Tb Mg Pd Pt Y
2 3 2 1 1
Direct
0.000 0.592 0.000
0.000 0.000 0.592
0.500 0.756 0.756
0.500 0.001 0.244
0.500 0.244 0.001
0.500 0.333 0.667
0.500 0.667 0.333
0.000 0.999 0.999
0.000 0.408 0.408
```

Raw total energy (eV per atom): -4.8643
Space-group type: Amm2, No. 38
V (Å³/cell): 195



VASP calculation (PBE) on crystalline Tm3Mg3Pd2Pt at its relaxed geometry.

POSCAR file:
```
Tm3Mg3Pd2Pt
1.0
7.323 0.000 0.000
-3.661 6.342 0.000
0.000 0.000 4.076
Tm Pd Pt Mg
3 2 1 3
Direct
0.000 0.407 0.500
0.593 0.593 0.500
0.407 0.000 0.500
0.667 0.333 0.000
0.333 0.667 0.000
0.000 0.000 0.500
0.754 0.000 0.000
0.246 0.246 0.000
0.000 0.754 0.000
```

Raw total energy (eV per atom): -4.6213
Space-group type: P-62m, No. 189
V (Å³/cell): 189



VASP calculation (PBE) on crystalline Tm3Mg3PdPt2 at its relaxed geometry.

POSCAR file:
```
Tm3Mg3PdPt2
1.0
-6.201 1.547 -3.647
5.925 -2.377 -3.659
-1.226 -3.789 0.477
Mg Pt Pd Tm
3 2 1 3
Direct
0.248 0.248 0.500
0.752 0.000 0.500
0.000 0.752 0.500
0.333 0.667 0.500
0.667 0.333 0.500
0.000 0.000 0.000
0.413 0.000 0.000
0.000 0.413 0.000
0.587 0.587 0.000
```

Raw total energy (eV per atom): -4.8197
Space-group type: P-62m, No. 189
V (Å³/cell): 188



VASP calculation (PBE) on crystalline Tm3MgZn2PdPt2 at its relaxed geometry.

POSCAR file:
```
Tm3MgZn2PdPt2
1.0
-3.196 2.007 -0.752
-3.597 -3.821 5.087
3.457 6.181 1.807
Zn Mg Tm Pt Pd
2 1 3 2 1
Direct
0.000 0.249 0.992
0.000 0.992 0.249
0.000 0.756 0.756
0.500 0.586 0.013
0.500 0.390 0.390
0.500 0.013 0.586
0.000 0.667 0.341
0.000 0.341 0.667
0.500 0.007 0.007
```

Raw total energy (eV per atom): -4.7912
Space-group type: Amm2, No. 38
V (Å³/cell): 178



VASP calculation (PBE) on crystalline Y3Mg3Pd2Pt at its relaxed geometry.

POSCAR file:
```
Y3Mg3Pd2Pt
1.0
7.393 0.000 0.000
-3.697 6.403 0.000
0.000 0.000 4.119
Pd Y Pt Mg
2 3 1 3
Direct
0.667 0.333 0.500
0.333 0.667 0.500
0.593 0.000 0.000
0.000 0.593 0.000
0.407 0.407 0.000
0.000 0.000 0.000
0.000 0.244 0.500
0.756 0.756 0.500
0.244 0.000 0.500
```

Raw total energy (eV per atom): -5.2760
Space-group type: P-62m, No. 189
V (Å³/cell): 195



VASP calculation (PBE) on crystalline MgZnPdPt at its relaxed geometry.

POSCAR file:
```
MgZnPdPt
1.0
-2.079 2.079 3.495
2.079 -2.079 3.495
2.079 2.079 -3.495
Pd Pt Zn Mg
1 1 1 1
Direct
0.250 0.750 0.500
0.750 0.250 0.500
0.500 0.500 0.000
0.000 0.000 0.000
```

Raw total energy (eV per atom): -4.2263
Space-group type: I-4m2, No. 119
V (Å³/cell): 60



VASP calculation (PBE) on crystalline MgZrPdPt at its relaxed geometry.

POSCAR file:
```
MgZrPdPt
1.0
0.000 3.275 3.275
3.275 0.000 3.275
3.275 3.275 0.000
Zr Pd Pt Mg
1 1 1 1
Direct
0.250 0.250 0.250
0.500 0.500 0.500
0.000 0.000 0.000
0.750 0.750 0.750
```

Offset from the most stable computed form (eV per atom): 0.0000
Raw total energy (eV per atom): -6.1945
Space-group type: F-43m, No. 216
V (Å³/cell): 70



VASP calculation (PBE) on crystalline MgZrPdPt at its relaxed geometry.

POSCAR file:
```
MgZrPdPt
1.0
0.456 2.584 3.795
0.949 4.499 -0.374
-3.218 3.132 1.058
Pt Pd Zr Mg
1 1 1 1
Direct
0.000 0.000 0.000
0.250 0.250 0.250
0.500 0.500 0.500
0.750 0.750 0.750
```

Offset from the most stable computed form (eV per atom): 0.4025
Raw total energy (eV per atom): -5.7920
Space-group type: F-43m, No. 216
V (Å³/cell): 69



VASP calculation (PBE) on crystalline MgZrPdPt at its relaxed geometry.

POSCAR file:
```
MgZrPdPt
1.0
0.000 3.274 3.274
3.274 0.000 3.274
3.274 3.274 0.000
Zr Pd Mg Pt
1 1 1 1
Direct
0.000 0.000 0.000
0.500 0.500 0.500
0.750 0.750 0.750
0.250 0.250 0.250
```

Offset from the most stable computed form (eV per atom): 0.3516
Raw total energy (eV per atom): -5.8429
Space-group type: F-43m, No. 216
V (Å³/cell): 70



VASP calculation (PBE) on crystalline RbMgSbPd at its relaxed geometry.

POSCAR file:
```
RbMgSbPd
1.0
-2.329 -3.653 3.027
-4.201 -2.646 -1.812
0.433 -5.121 -1.232
Mg Rb Pd Sb
1 1 1 1
Direct
0.750 0.750 0.750
0.250 0.250 0.250
0.500 0.500 0.500
0.000 0.000 0.000
```

Offset from the most stable computed form (eV per atom): 0.0968
Raw total energy (eV per atom): -2.8521
Space-group type: F-43m, No. 216
V (Å³/cell): 104



VASP calculation (PBE) on crystalline RbMgSbPd at its relaxed geometry.

POSCAR file:
```
RbMgSbPd
1.0
0.000 3.647 3.647
3.647 0.000 3.647
3.647 3.647 0.000
Pd Mg Rb Sb
1 1 1 1
Direct
0.250 0.250 0.250
0.750 0.750 0.750
0.500 0.500 0.500
0.000 0.000 0.000
```

Offset from the most stable computed form (eV per atom): 0.0000
Raw total energy (eV per atom): -2.9489
Space-group type: F-43m, No. 216
V (Å³/cell): 97



VASP calculation (PBE) on crystalline RbMgSbPd at its relaxed geometry.

POSCAR file:
```
RbMgSbPd
1.0
2.617 -1.153 4.281
-2.042 -3.193 3.484
1.959 -4.720 0.627
Pd Rb Mg Sb
1 1 1 1
Direct
0.000 0.000 0.000
0.500 0.500 0.500
0.750 0.750 0.750
0.250 0.250 0.250
```

Offset from the most stable computed form (eV per atom): 0.0469
Raw total energy (eV per atom): -2.9021
Space-group type: F-43m, No. 216
V (Å³/cell): 96



VASP calculation (PBE) on crystalline MgPd3S6 at its relaxed geometry.

POSCAR file:
```
MgPd3S6
1.0
-0.626 3.849 -6.202
-3.602 3.633 5.243
3.087 1.852 0.838
Mg S Pd
1 6 3
Direct
0.000 0.000 0.000
0.587 0.832 0.000
0.413 0.168 0.000
0.168 0.413 0.000
0.832 0.587 0.000
0.156 0.844 0.500
0.844 0.156 0.500
0.500 0.500 0.000
0.000 0.500 0.500
0.500 0.000 0.500
```

Raw total energy (eV per atom): -4.5484
Space-group type: Cmmm, No. 65
V (Å³/cell): 189



VASP calculation (PBE) on crystalline MgSbPd2 at its relaxed geometry.

POSCAR file:
```
MgSbPd2
1.0
0.000 3.286 3.286
3.286 0.000 3.286
3.286 3.286 0.000
Mg Sb Pd
1 1 2
Direct
0.250 0.250 0.250
0.500 0.500 0.500
0.750 0.750 0.750
0.000 0.000 0.000
```

Offset from the most stable computed form (eV per atom): 0.2201
Raw total energy (eV per atom): -4.3990
Space-group type: F-43m, No. 216
V (Å³/cell): 71



VASP calculation (PBE) on crystalline MgSbPd at its relaxed geometry.

POSCAR file:
```
MgSbPd
1.0
7.762 0.000 0.000
-3.881 6.722 0.000
0.000 0.000 3.393
Mg Pd Sb
3 3 3
Direct
0.000 0.292 0.000
0.708 0.708 0.000
0.292 0.000 0.000
0.371 0.371 0.500
0.629 0.000 0.500
0.000 0.629 0.500
0.333 0.667 0.000
0.000 0.000 0.500
0.667 0.333 0.000
```

Raw total energy (eV per atom): -3.9069
Space-group type: P-62m, No. 189
V (Å³/cell): 177



VASP calculation (PBE) on crystalline MgSbPd at its relaxed geometry.

POSCAR file:
```
MgSbPd
1.0
-3.778 -0.026 6.305
7.275 -1.050 0.070
0.541 3.771 0.340
Mg Sb Pd
3 3 3
Direct
0.608 0.000 0.500
0.000 0.608 0.500
0.392 0.392 0.500
0.725 0.725 0.000
0.275 0.000 0.000
0.000 0.275 0.000
0.667 0.333 0.000
0.333 0.667 0.000
0.000 0.000 0.500
```

Raw total energy (eV per atom): -4.1473
Space-group type: P-62m, No. 189
V (Å³/cell): 179



VASP calculation (PBE) on crystalline MgSbPd2 at its relaxed geometry.

POSCAR file:
```
MgSbPd2
1.0
6.054 0.000 0.000
0.000 7.406 0.000
0.000 0.000 6.675
Pd Mg Sb
8 4 4
Direct
0.530 0.951 0.224
0.530 0.549 0.224
0.970 0.951 0.724
0.030 0.451 0.276
0.970 0.549 0.724
0.030 0.049 0.276
0.470 0.049 0.776
0.470 0.451 0.776
0.679 0.250 0.470
0.179 0.750 0.030
0.821 0.250 0.970
0.321 0.750 0.530
0.663 0.750 0.899
0.837 0.750 0.399
0.337 0.250 0.101
0.163 0.250 0.601
```

Offset from the most stable computed form (eV per atom): 0.0807
Raw total energy (eV per atom): -4.5383
Space-group type: Pnma, No. 62
V (Å³/cell): 299



VASP calculation (PBE) on crystalline MgSbPd2 at its relaxed geometry.

POSCAR file:
```
MgSbPd2
1.0
-2.380 2.768 2.520
2.140 -1.444 3.607
2.461 2.525 -0.449
Pd Mg Sb
2 1 1
Direct
0.500 0.000 0.500
0.000 0.500 0.500
0.500 0.500 0.000
0.000 0.000 0.000
```

Offset from the most stable computed form (eV per atom): 0.0279
Raw total energy (eV per atom): -4.5911
Space-group type: P4/mmm, No. 123
V (Å³/cell): 70



VASP calculation (PBE) on crystalline MgSbPd at its relaxed geometry.

POSCAR file:
```
MgSbPd
1.0
2.348 -1.776 3.373
-1.856 -3.117 2.622
1.398 -4.246 -0.238
Sb Mg Pd
1 1 1
Direct
0.750 0.750 0.750
0.250 0.250 0.250
0.000 0.000 0.000
```

Raw total energy (eV per atom): -4.2466
Space-group type: F-43m, No. 216
V (Å³/cell): 63